No. 1
! PBE CsClF2, optimized geometry; values from VASP
! Calculated volume in Å³/cell: 204
! Calculated density in g cm⁻³: 3.360
! Final energy in eV per cell: -25.86
! Total magnetic moment in μB/cell: 0.109
! Energy relative to the lowest polymorph listed for this composition in eV/atom: 0.101
! ΔE_f (raw) in meV per atom: -1621
&SYSTEM
  ibrav = 0, nat = 8, ntyp = 3
/
ATOMIC_SPECIES
Cs 132.91 Cs.upf
F 19.00 F.upf
Cl 35.45 Cl.upf
ATOMIC_POSITIONS angstrom
Cs 2.2854 -0.9042 2.1921
Cs 1.6633 1.7522 5.7451
F -0.6278 -1.2722 3.4841
F 0.6135 -3.5741 2.8327
F 4.7403 0.9119 1.5780
F 4.4660 -2.8467 1.7276
Cl 1.5609 -5.1098 2.4767
Cl 5.3025 0.7934 3.4168
CELL_PARAMETERS angstrom
-1.9400 -2.1359 3.6852
3.1216 -5.3760 -1.3507
4.3879 5.7826 3.1003


No. 2
! PBE Sc3Ag, optimized geometry; values from VASP
! Calculated volume in Å³/cell: 182
! Calculated density in g cm⁻³: 4.430
! DFT formation energy in eV/atom: -0.11
! Final energy in eV per cell: -44.55
! Total magnetic moment in μB/cell: 0.002
! Energy relative to the lowest polymorph listed for this composition in eV/atom: 0.023
&SYSTEM
  ibrav = 0, nat = 8, ntyp = 2
/
ATOMIC_SPECIES
Sc 44.96 Sc.upf
Ag 107.87 Ag.upf
ATOMIC_POSITIONS angstrom
Sc 6.3494 -5.7606 -1.1832
Sc 1.9614 -1.2919 1.6151
Sc 8.3070 -2.2105 0.3607
Sc 0.0038 -4.8420 0.0711
Sc 3.5247 -5.1653 0.4439
Sc 4.7861 -1.8872 -0.0121
Ag 6.2528 -4.0306 1.2292
Ag 2.0580 -3.0219 -0.7973
CELL_PARAMETERS angstrom
-0.4368 -1.1278 3.1469
-0.0831 -5.1138 -3.6501
8.8307 -0.8109 0.9350


No. 3
! PBE RbFeS, optimized geometry; values from VASP
! Calculated volume in Å³/cell: 153
! Calculated density in g cm⁻³: 3.769
! Final energy in eV per cell: -30.21
! Total magnetic moment in μB/cell: 0.000
! ΔE_f (raw) in meV per atom: -516
&SYSTEM
  ibrav = 0, nat = 6, ntyp = 3
/
ATOMIC_SPECIES
Fe 55.84 Fe.upf
Rb 85.47 Rb.upf
S 32.06 S.upf
ATOMIC_POSITIONS angstrom
Fe 0.0000 0.0000 0.0000
Fe 1.8700 1.8700 0.0000
Rb 0.0000 1.8700 3.1865
Rb 1.8700 0.0000 7.7349
S 0.0000 1.8700 9.7564
S 1.8700 0.0000 1.1650
CELL_PARAMETERS angstrom
3.7399 0.0000 0.0000
0.0000 3.7399 0.0000
0.0000 0.0000 10.9214


No. 4
! PBE Ti4NbIn, optimized geometry; values from VASP
! Calculated volume in Å³/cell: 128
! Calculated density in g cm⁻³: 5.186
! DFT formation energy in eV/atom: 0.52
! Final energy in eV per cell: -41.25
! Total magnetic moment in μB/cell: 0.000
! Energy relative to the lowest polymorph listed for this composition in eV/atom: 0.527
&SYSTEM
  ibrav = 0, nat = 6, ntyp = 3
/
ATOMIC_SPECIES
Ti 47.87 Ti.upf
Nb 92.91 Nb.upf
In 114.82 In.upf
ATOMIC_POSITIONS angstrom
Ti 2.1933 4.3628 1.8179
Ti 2.1950 4.3659 4.8329
Ti 0.0085 2.1789 4.8347
Ti 0.0062 2.1764 1.8196
Nb 0.0071 4.3648 3.3261
In 2.1960 2.1796 6.6672
CELL_PARAMETERS angstrom
4.3741 0.0001 -0.0012
-0.0001 4.3741 -0.0020
0.0032 0.0046 6.6811


No. 5
! PBE Na2PrSi3Au12, optimized geometry; values from VASP
! Calculated volume in Å³/cell: 390
! Calculated density in g cm⁻³: 11.216
! Final energy in eV per cell: -64.56
! Total magnetic moment in μB/cell: 0.000
! ΔE_f (raw) in meV per atom: -86
&SYSTEM
  ibrav = 0, nat = 18, ntyp = 4
/
ATOMIC_SPECIES
Na 22.99 Na.upf
Pr 140.91 Pr.upf
Si 28.09 Si.upf
Au 196.97 Au.upf
ATOMIC_POSITIONS angstrom
Na 7.8361 4.5612 3.2352
Na 5.6551 3.2917 2.3348
Pr 0.0000 0.0000 0.0000
Si 3.7626 -0.4217 -0.2991
Si 1.4915 3.4800 -0.2991
Si 1.4915 0.8682 3.3833
Au 5.7066 3.3217 5.4102
Au 9.9191 5.7737 1.7713
Au 8.0119 6.8569 4.8636
Au 8.2129 1.8982 1.3464
Au 9.9191 3.5804 4.8636
Au 5.7066 6.2041 1.3464
Au 7.7846 4.5313 0.1599
Au 3.5720 2.0792 3.7988
Au 5.4792 0.9960 0.7065
Au 5.2782 5.9547 4.2236
Au 3.5720 4.2725 0.7065
Au 7.7846 1.6489 4.2236
CELL_PARAMETERS angstrom
7.5252 -0.8434 -0.5982
2.9829 6.9601 -0.5982
2.9829 1.7363 6.7665


No. 6
! PBE NaLiS, optimized geometry; values from VASP
! Calculated volume in Å³/cell: 58
! Calculated density in g cm⁻³: 1.778
! Final energy in eV per cell: -10.63
! Total magnetic moment in μB/cell: 0.000
! ΔE_f (raw) in meV per atom: -1089
&SYSTEM
  ibrav = 0, nat = 3, ntyp = 3
/
ATOMIC_SPECIES
Na 22.99 Na.upf
S 32.06 S.upf
Li 6.94 Li.upf
ATOMIC_POSITIONS angstrom
Na 2.7280 2.0206 1.1666
S 0.6840 0.0000 2.3332
Li 0.6811 0.0000 0.0000
CELL_PARAMETERS angstrom
4.0931 0.0000 0.0000
0.0000 4.0413 0.0000
0.0000 -2.0206 3.4998


No. 7
! PBE TbCeMgPb, optimized geometry; values from VASP
! Calculated volume in Å³/cell: 114
! Calculated density in g cm⁻³: 7.757
! DFT formation energy in eV/atom: -0.22
! Final energy in eV per cell: -16.76
! Total magnetic moment in μB/cell: 1.253
&SYSTEM
  ibrav = 0, nat = 4, ntyp = 4
/
ATOMIC_SPECIES
Pb 207.20 Pb.upf
Mg 24.30 Mg.upf
Tb 158.93 Tb.upf
Ce 140.12 Ce.upf
ATOMIC_POSITIONS angstrom
Pb 0.1634 -5.3733 3.9274
Mg 0.0000 0.0000 0.0000
Tb 0.0817 -2.6867 1.9637
Ce 0.2451 -8.0600 5.8912
CELL_PARAMETERS angstrom
-1.7008 -5.1309 0.5748
3.2334 -3.6890 2.3422
-1.2057 -1.9267 4.9379


No. 8
! PBE Dy5TlIn2, optimized geometry; values from VASP
! Calculated volume in Å³/cell: 465
! Calculated density in g cm⁻³: 8.907
! DFT formation energy in eV/atom: -0.34
! Final energy in eV per cell: -67.08
! Total magnetic moment in μB/cell: 0.003
&SYSTEM
  ibrav = 0, nat = 16, ntyp = 3
/
ATOMIC_SPECIES
Dy 162.50 Dy.upf
Tl 204.38 Tl.upf
In 114.82 In.upf
ATOMIC_POSITIONS angstrom
Dy -1.8429 -3.6058 4.2112
Dy -7.4098 -4.6732 1.3411
Dy 0.0000 0.0000 0.0000
Dy -5.3054 -2.0406 -0.2265
Dy 2.7679 0.1625 5.1424
Dy -1.4582 0.3896 5.6439
Dy 2.3833 -3.8328 3.7097
Dy -3.1836 -4.9002 0.8395
Dy -7.0251 -0.6778 2.7738
Dy -2.7989 -0.9048 2.2723
Tl -4.9736 -3.2756 3.1285
Tl 0.3318 -1.2350 3.3550
In -2.1813 -2.1929 -0.5915
In -5.0375 0.9125 0.8341
In -5.5734 -4.9936 -1.2870
In -8.4296 -1.8882 0.1386
CELL_PARAMETERS angstrom
-7.2901 2.8960 1.7871
-3.3208 -6.9771 -2.2400
5.9690 -0.4295 6.9364


No. 9
! PBE Ac2PrF8, optimized geometry; values from VASP
! Calculated volume in Å³/cell: 176
! Calculated density in g cm⁻³: 7.049
! Final energy in eV per cell: -71.18
! Total magnetic moment in μB/cell: 0.984
! Energy relative to the lowest polymorph listed for this composition in eV/atom: 0.000
! ΔE_f (raw) in meV per atom: -3929
&SYSTEM
  ibrav = 0, nat = 11, ntyp = 3
/
ATOMIC_SPECIES
Ac 227.00 Ac.upf
Pr 140.91 Pr.upf
F 19.00 F.upf
ATOMIC_POSITIONS angstrom
Ac 2.0355 0.1810 4.7199
Ac 0.0000 3.1186 2.3652
Pr 2.0355 0.0000 0.0000
F 0.0000 1.1615 5.8361
F 2.0355 4.8504 2.3228
F 2.0355 2.5584 3.8862
F 2.0355 -1.2458 6.7471
F 0.0000 0.7412 3.1989
F 0.0000 -1.5507 4.7624
F 2.0355 2.1382 1.2491
F 0.0000 4.5454 0.3381
CELL_PARAMETERS angstrom
4.0710 0.0000 0.0000
0.0000 6.0412 -0.1265
-2.0355 -2.7415 7.2117


No. 10
! PBE Li2ErGaI6, optimized geometry; values from VASP
! Calculated volume in Å³/cell: 364
! Calculated density in g cm⁻³: 4.618
! Final energy in eV per cell: -31.45
! Total magnetic moment in μB/cell: 0.000
! ΔE_f (raw) in meV per atom: -1073
&SYSTEM
  ibrav = 0, nat = 10, ntyp = 4
/
ATOMIC_SPECIES
Li 6.94 Li.upf
Er 167.26 Er.upf
Ga 69.72 Ga.upf
I 126.90 I.upf
ATOMIC_POSITIONS angstrom
Li -1.9825 -9.0680 2.0225
Li 2.6733 -6.5800 4.3200
Er -2.0411 -3.9465 0.0624
Ga -3.7798 -13.1476 2.3028
I -2.7620 -6.1110 2.0387
I -1.7035 -9.1644 -1.0205
I -4.8845 -10.0219 1.9699
I -0.7899 -11.9169 2.1633
I -2.0072 -9.3416 5.1032
I 0.9572 -8.2318 2.5084
CELL_PARAMETERS angstrom
-5.3123 -4.7020 2.9725
-1.1207 -6.9656 -3.0664
2.7253 -6.6079 4.3683


No. 11
! PBE Pr4Bi2PbSe, optimized geometry; values from VASP
! Calculated volume in Å³/cell: 266
! Calculated density in g cm⁻³: 7.903
! Final energy in eV per cell: -42.62
! Total magnetic moment in μB/cell: 0.000
! ΔE_f (raw) in meV per atom: -1069
&SYSTEM
  ibrav = 0, nat = 8, ntyp = 4
/
ATOMIC_SPECIES
Pr 140.91 Pr.upf
Bi 208.98 Bi.upf
Pb 207.20 Pb.upf
Se 78.96 Se.upf
ATOMIC_POSITIONS angstrom
Pr 6.1960 -4.5214 5.7543
Pr 0.8359 -5.5328 0.2221
Pr 5.0643 -4.8509 1.4200
Pr 1.9675 -5.2033 4.5564
Bi 0.9383 -3.3732 7.0594
Bi -0.1811 -3.6800 2.6636
Pb 3.9851 -6.7137 6.5179
Se 4.1662 -3.0337 3.8543
CELL_PARAMETERS angstrom
-1.3006 -3.9868 -1.7321
7.3941 -2.6942 0.6492
0.9383 -3.3732 7.0594


Which value of total magnetic moment does entry 2 give? 0.002 μB/cell